## i
AcIn3Hg3 | PBE | optimized geometry

a b c (Å): 8.202 8.202 8.202
angles (deg): 63.35 63.35 63.35
Fractional positions:
Ac (0.168, 0.168, 0.168)
Ac (0.832, 0.832, 0.832)
In (0.015, 0.379, 0.730)
In (0.270, 0.985, 0.621)
In (0.379, 0.730, 0.015)
In (0.621, 0.270, 0.985)
In (0.730, 0.015, 0.379)
In (0.985, 0.621, 0.270)
Hg (0.175, 0.716, 0.442)
Hg (0.284, 0.558, 0.825)
Hg (0.442, 0.175, 0.716)
Hg (0.558, 0.825, 0.284)
Hg (0.716, 0.442, 0.175)
Hg (0.825, 0.284, 0.558)

Computed properties:
Space-group type: No. 148
Calculated volume, Å³/cell: 419.1

## ii
AcIn3Hg3 | PBE | optimized geometry

a b c (Å): 9.226 9.245 9.916
angles (deg): 74.42 74.40 79.80
Fractional positions:
Ac (0.000, 0.000, 0.000)
Ac (0.148, 0.416, 0.593)
Ac (0.478, 0.424, 0.056)
Ac (0.649, 0.076, 0.491)
In (0.141, 0.670, 0.890)
In (0.267, 0.721, 0.251)
In (0.305, 0.167, 0.365)
In (0.430, 0.812, 0.911)
In (0.445, 0.190, 0.804)
In (0.519, 0.476, 0.392)
In (0.697, 0.711, 0.127)
In (0.705, 0.679, 0.652)
In (0.754, 0.284, 0.798)
In (0.821, 0.335, 0.182)
In (0.889, 0.739, 0.339)
In (0.981, 0.097, 0.612)
Hg (0.018, 0.052, 0.318)
Hg (0.079, 0.777, 0.578)
Hg (0.104, 0.465, 0.222)
Hg (0.141, 0.327, 0.956)
Hg (0.278, 0.014, 0.684)
Hg (0.324, 0.045, 0.110)
Hg (0.426, 0.535, 0.700)
Hg (0.454, 0.819, 0.438)
Hg (0.635, 0.058, 0.150)
Hg (0.743, 0.917, 0.828)
Hg (0.820, 0.408, 0.473)
Hg (0.860, 0.537, 0.885)

Computed properties:
Space-group type: No. 1
Calculated volume, Å³/cell: 779.7

Winner for stability: ii

## i
AcIn2Hg3 | PBE | optimized geometry

a b c (Å): 9.292 9.292 8.235
angles (deg): 116.29 116.29 32.19
Fractional positions:
Ac (0.139, 0.139, 0.138)
Ac (0.861, 0.861, 0.862)
In (0.177, 0.177, 0.678)
In (0.500, 0.500, 0.175)
In (0.500, 0.500, 0.825)
In (0.823, 0.823, 0.322)
Hg (0.000, 0.000, 0.328)
Hg (0.000, 0.000, 0.672)
Hg (0.322, 0.322, 0.538)
Hg (0.323, 0.323, 0.107)
Hg (0.677, 0.677, 0.893)
Hg (0.678, 0.678, 0.462)

Computed properties:
Space-group type: No. 12
Calculated volume, Å³/cell: 336.2

## ii
AcIn2Hg3 | PBE | optimized geometry

a b c (Å): 9.397 9.397 5.995
angles (deg): 90.00 90.00 139.06
Fractional positions:
Ac (0.178, 0.822, 0.750)
Ac (0.822, 0.178, 0.250)
In (0.239, 0.239, 0.000)
In (0.239, 0.239, 0.500)
In (0.761, 0.761, 0.000)
In (0.761, 0.761, 0.500)
Hg (0.095, 0.405, 0.750)
Hg (0.363, 0.637, 0.250)
Hg (0.405, 0.095, 0.250)
Hg (0.595, 0.905, 0.750)
Hg (0.637, 0.363, 0.750)
Hg (0.905, 0.595, 0.250)

Computed properties:
Space-group type: No. 63
Calculated volume, Å³/cell: 346.9

Winner for stability: i